# 1
The following is a PBE calculation of crystalline Cd2MoOs at its relaxed geometry, from Alexandria via LeMat-Bulk.

Unit cell a=6.5087 b=6.5087 c=6.5087 alpha=90.00 beta=90.00 gamma=90.00
Closest atoms and distances in Å follow each position.
Space group Fm-3m (No. 225)
Unique sites:
Cd 0.2500 0.2500 0.2500 x8  4 Os 2.82, 4 Mo 2.82
Mo 0.0000 0.0000 0.0000 x4  8 Cd 2.82
Os 0.0000 0.0000 0.5000 x4  8 Cd 2.82

Computed properties:
Energy above the lowest structure with this stoichiometry = 705 meV/atom
DOS(E_F) = 15.1 states/eV per cell
Crystal system = cubic
Energy relative to the elements = 0.895 eV per atom
Theoretical density = 12.310 Mg/m³



# 2
The following is a PBE calculation of crystalline Zr6SbN at its relaxed geometry, from Alexandria via LeMat-Bulk.

Unit cell a=8.6305 b=8.6305 c=7.6888 alpha=90.00 beta=90.00 gamma=120.00
Closest atoms and distances in Å follow each position.
Space group R-3 (No. 148, hexagonal axes)
Unique sites:
Zr 0.0813 0.5816 0.3224 x18  1 N 2.26
Sb 0.0000 0.0000 0.0000 x3  12 Zr 3.12-3.27
N 0.0000 0.0000 0.5000 x3  6 Zr 2.26

Computed properties:
DOS(E_F) = 18.4 states/eV per cell
Crystal system = trigonal
Theoretical density = 6.861 Mg/m³
VASP energy = -8.586 eV per atom



# 3
The following is a PBE calculation of crystalline PaZnGa6 at its relaxed geometry, from Alexandria via LeMat-Bulk.

Unit cell a=6.8256 b=10.2314 c=4.3902 alpha=90.00 beta=90.00 gamma=90.00
Closest atoms and distances in Å follow each position.
Space group Cmmm (No. 65)
Unique sites:
Pa 0.0000 0.0000 0.0000 x2  12 Ga 3.00-3.07
Zn 0.0000 0.5000 0.0000 x2  4 Ga 2.58
Ga 0.0000 0.2073 0.5000 x4  6 Ga 2.81-2.95, 2 Pa 3.05
Ga 0.1999 0.5000 0.5000 x4  2 Zn 2.58, 1 Ga 2.73
Ga 0.2500 0.2500 0.0000 x4  4 Ga 2.81, 2 Pa 3.07, 2 Zn 3.07

Computed properties:
DOS(E_F) = 10.8 states/eV per cell
Crystal system = orthorhombic
Energy relative to the elements = -0.133 eV per atom
Theoretical density = 7.743 Mg/m³